A plane-wave DFT calculation with PBE was carried out for a relaxed GaBiIrW2 crystal.

Output
**SG**: P4/mmm
**Density of states at the Fermi level**: 1.099 states/eV per atom
**Crystal system**: tetragonal
**Magnetization**: 0.1539 μB per atom
**ρ**: 10.936 g cm⁻³

The structure in extended XYZ format:
```
5
Lattice="-0.920 4.699 -1.724 -4.323 0.013 2.341 2.242 1.954 4.130" Properties=species:S:1:pos:R:3 pbc="T T T"
Ga -1.501 3.333 2.373
Ir -2.162 0.006 1.171
Bi 0.000 0.000 0.000
W 1.121 0.977 2.065
W -0.460 2.349 -0.862
```

=====

A plane-wave DFT calculation with PBE was carried out for a relaxed YGa2BiIr crystal.

Output
**SG**: P4/mmm
**Density of states at the Fermi level**: 0.736 states/eV per atom
**Crystal system**: tetragonal
**Magnetization**: 0.0000 μB per atom
**ρ**: 8.246 g cm⁻³

The structure in extended XYZ format:
```
5
Lattice="4.816 0.000 0.000 0.000 4.816 0.000 0.000 0.000 5.467" Properties=species:S:1:pos:R:3 pbc="T T T"
Y 0.000 0.000 2.733
Ir 0.000 0.000 0.000
Bi 2.408 2.408 2.733
Ga 0.000 2.408 0.000
Ga 2.408 0.000 0.000
```

=====

A plane-wave DFT calculation with PBE was carried out for a relaxed K3GaBi2 crystal.

Output
**SG**: C2/m
**Density of states at the Fermi level**: 0.411 states/eV per atom
**Crystal system**: monoclinic
**Magnetization**: 0.0004 μB per atom
**ρ**: 3.747 g cm⁻³

The structure in extended XYZ format:
```
12
Lattice="4.493 0.000 0.000 2.246 9.649 0.712 2.246 2.965 12.589" Properties=species:S:1:pos:R:3 pbc="T T T"
K 2.246 3.759 9.801
K 6.739 8.854 3.499
K 6.739 9.649 13.016
K 2.246 2.964 0.284
K 6.739 10.040 8.359
K 2.246 2.574 4.942
Ga 4.493 6.758 8.592
Ga 4.493 5.855 4.708
Bi 6.739 7.208 10.300
Bi 2.246 5.406 3.001
Bi 4.493 4.287 7.116
Bi 4.493 8.327 6.184
```

=====

A plane-wave DFT calculation with PBE was carried out for a relaxed KGa4Bi crystal.

Output
**SG**: F-43m
**Density of states at the Fermi level**: 0.180 states/eV per atom
**Crystal system**: cubic
**Magnetization**: 0.0000 μB per atom
**ρ**: 5.966 g cm⁻³

The structure in extended XYZ format:
```
6
Lattice="-0.730 3.729 -4.539 2.071 -1.421 -5.361 -3.764 -1.351 -4.364" Properties=species:S:1:pos:R:3 pbc="T T T"
K -0.606 0.239 -3.566
Bi 0.000 0.000 0.000
Ga 0.378 1.279 -6.730
Ga -2.559 1.314 -6.229
Ga -1.517 0.599 -8.927
Ga -1.149 -1.278 -6.642
```

=====

A plane-wave DFT calculation with PBE was carried out for a relaxed KGaBi2 crystal.

Output
**SG**: R-3m
**Density of states at the Fermi level**: 0.322 states/eV per atom
**Crystal system**: trigonal
**Magnetization**: 0.0000 μB per atom
**ρ**: 6.700 g cm⁻³

The structure in extended XYZ format:
```
4
Lattice="3.950 0.000 0.000 1.975 3.421 0.000 1.975 1.140 9.663" Properties=species:S:1:pos:R:3 pbc="T T T"
K 3.950 2.280 4.831
Bi 1.975 1.140 1.877
Bi 5.925 3.421 7.786
Ga 0.000 0.000 0.000
```

=====

A plane-wave DFT calculation with PBE was carried out for a relaxed KGaBi2 crystal.

Output
**SG**: R3m
**Density of states at the Fermi level**: 0.335 states/eV per atom
**Crystal system**: trigonal
**Magnetization**: 0.0000 μB per atom
**ρ**: 6.703 g cm⁻³

The structure in extended XYZ format:
```
4
Lattice="-0.281 -3.936 0.258 0.392 -1.784 3.507 -9.458 -1.133 2.710" Properties=species:S:1:pos:R:3 pbc="T T T"
K -4.658 -3.428 3.235
Ga 0.068 -3.813 2.511
Bi -7.617 -1.283 2.428
Bi -1.813 -1.756 1.539
```

=====

A plane-wave DFT calculation with PBE was carried out for a relaxed K2Ga2Bi crystal.

Output
**SG**: P4/mbm
**Density of states at the Fermi level**: 0.453 states/eV per atom
**Crystal system**: tetragonal
**Magnetization**: 0.0000 μB per atom
**ρ**: 4.308 g cm⁻³

The structure in extended XYZ format:
```
10
Lattice="-7.104 2.309 1.462 -2.673 -5.021 -5.058 -0.425 -3.904 4.099" Properties=species:S:1:pos:R:3 pbc="T T T"
K -3.397 -4.975 -1.159
K -7.275 -4.433 -1.045
K -6.805 -1.641 1.662
K -2.927 -2.183 1.548
Bi 0.000 0.000 0.000
Bi -4.889 -1.356 -1.798
Ga -5.072 -3.547 -3.903
Ga -7.918 -1.065 -1.836
Ga -4.705 0.835 0.307
Ga -1.859 -1.646 -1.761
```

=====

A plane-wave DFT calculation with PBE was carried out for a relaxed K3GaBi crystal.

Output
**SG**: Pm-3m
**Density of states at the Fermi level**: 1.593 states/eV per atom
**Crystal system**: cubic
**Magnetization**: 0.1981 μB per atom
**Offset from the most stable computed form**: 143 kJ/mol of formula units
**ρ**: 2.077 g cm⁻³

The structure in extended XYZ format:
```
5
Lattice="-4.673 -3.193 3.798 4.961 -3.094 3.503 0.083 5.166 4.445" Properties=species:S:1:pos:R:3 pbc="T T T"
K 2.480 -1.547 1.751
K 0.042 2.583 2.223
K -2.337 -1.596 1.899
Bi 0.000 0.000 0.000
Ga 0.185 -0.561 5.873
```

=====

| no. | ΔE_f (eV/atom) | V (Å³/f.u.) |
| --- | --- | --- |
| 1 | 2.754 | 127.3 |
| 2 | -0.422 | 126.8 |
| 3 | -0.206 | 268.1 |
| 4 | -0.006 | 146.7 |
| 5 | -0.041 | 130.6 |
| 6 | -0.040 | 130.5 |
| 7 | -0.134 | 164.5 |
| 8 | 0.182 | 316.6 |